Mg2CdTc: optimized geometry, PBE. Values from VASP.

Computed properties:
The calculation puts the total energy at -13.55 eV per formula unit. Its formation energy is 0.23 eV/atom. The symmetry is Immm, No. 71.

Structure (Quantum ESPRESSO input):
```
&SYSTEM
  ibrav = 0, nat = 4, ntyp = 3
/
ATOMIC_SPECIES
Cd 112.41 Cd.upf
Mg 24.30 Mg.upf
Tc 98.00 Tc.upf
ATOMIC_POSITIONS crystal
Cd 0.2500 0.7500 0.5000
Mg 0.9886 0.9886 0.0000
Mg 0.5114 0.5114 0.0000
Tc 0.7500 0.2500 0.5000
CELL_PARAMETERS angstrom
5.5454 0.0052 0.0080
2.5166 4.9415 -0.0080
-3.4427 -3.4322 2.6683
```